Crystalline Mn2WBr at its relaxed geometry. Source: Alexandria, functional GGA-PBE.

## Properties
* calculated total energy: -7.344 eV/atom
* raw formation energy: 0.897 eV/atom
* distance to the lowest polymorph of the same formula: 201.2 kJ/mol of formula units

abc: 3.0427 4.7044 4.7044
angles: 90.00 90.00 90.00
Element x y z (fractional)
Mn: 0.0000 0.5000 0.5000
Mn: 0.0000 0.0000 0.0000
W: 0.5000 0.5000 0.0000
Br: 0.5000 0.0000 0.5000